# 1
VASP calculation (PBE-GGA) on an optimized crystal structure of TmBe6.

a = 7.425 Å, b = 4.400 Å, c = 9.263 Å
α = 90.00°, β = 90.00°, γ = 90.00°
Sites, in units of the cell vectors:
Tm 0.233 0.250 0.057
Tm 0.267 0.750 0.557
Tm 0.733 0.250 0.443
Tm 0.767 0.750 0.943
Be 0.050 0.750 0.112
Be 0.062 0.004 0.313
Be 0.062 0.496 0.313
Be 0.075 0.250 0.518
Be 0.140 0.750 0.852
Be 0.195 0.250 0.744
Be 0.305 0.750 0.244
Be 0.360 0.250 0.352
Be 0.425 0.750 0.018
Be 0.438 0.504 0.813
Be 0.438 0.996 0.813
Be 0.450 0.250 0.612
Be 0.550 0.750 0.388
Be 0.562 0.004 0.187
Be 0.562 0.496 0.187
Be 0.575 0.250 0.982
Be 0.640 0.750 0.648
Be 0.695 0.250 0.756
Be 0.805 0.750 0.256
Be 0.860 0.250 0.148
Be 0.925 0.750 0.482
Be 0.938 0.504 0.687
Be 0.938 0.996 0.687
Be 0.950 0.250 0.888

Computed properties:
Symmetry: Pnma, No. 62
ΔE_f in meV/atom: -70
DOS at the Fermi energy in states/eV per cell: 10.62

---

# 2
VASP calculation (PBE-GGA) on an optimized crystal structure of TiZnPt.

a = 4.692 Å, b = 4.672 Å, c = 4.785 Å
α = 90.00°, β = 118.46°, γ = 90.00°
Sites, in units of the cell vectors:
Ti 0.229 0.250 0.029
Ti 0.771 0.750 0.971
Zn 0.120 0.750 0.638
Zn 0.880 0.250 0.362
Pt 0.458 0.750 0.305
Pt 0.542 0.250 0.695

Computed properties:
Symmetry: P2_1/m, No. 11
ΔE_f in meV/atom: -664
DOS at the Fermi energy in states/eV per cell: 3.08

---

# 3
VASP calculation (PBE-GGA) on an optimized crystal structure of NiIrPt.

a = 2.730 Å, b = 2.730 Å, c = 6.448 Å
α = 90.00°, β = 90.00°, γ = 120.00°
Sites, in units of the cell vectors:
Ni 0.000 0.000 0.000
Ir 0.667 0.333 0.690
Pt 0.333 0.667 0.329

Computed properties:
Excess energy over the best structure of this formula in the dataset in eV/f.u.: 0.17
Symmetry: P3m1, No. 156
ΔE_f in meV/atom: 21
DOS at the Fermi energy in states/eV per cell: 4.52

---

# 4
VASP calculation (PBE-GGA) on an optimized crystal structure of K3YI6.

a = 8.406 Å, b = 9.044 Å, c = 14.721 Å
α = 90.00°, β = 124.09°, γ = 90.00°
Sites, in units of the cell vectors:
K 0.000 0.000 0.000
K 0.000 0.500 0.500
K 0.209 0.091 0.746
K 0.209 0.409 0.246
K 0.791 0.591 0.754
K 0.791 0.909 0.254
Y 0.500 0.000 0.500
Y 0.500 0.500 0.000
I 0.143 0.175 0.437
I 0.143 0.325 0.937
I 0.264 0.714 0.426
I 0.264 0.786 0.926
I 0.408 0.050 0.270
I 0.408 0.450 0.770
I 0.592 0.550 0.230
I 0.592 0.950 0.730
I 0.736 0.214 0.074
I 0.736 0.286 0.574
I 0.857 0.675 0.063
I 0.857 0.825 0.563

Computed properties:
E_form (uncorrected) in meV/atom: -1457
Symmetry: P2_1/c, No. 14
DOS at the Fermi energy in states/eV per cell: 0.00

---

# 5
VASP calculation (PBE-GGA) on an optimized crystal structure of DySnHgCl6.

a = 6.942 Å, b = 6.942 Å, c = 9.050 Å
α = 90.00°, β = 90.00°, γ = 120.00°
Sites, in units of the cell vectors:
Dy 0.000 0.000 0.000
Sn 0.333 0.667 0.000
Hg 0.667 0.333 0.500
Cl 0.039 0.334 0.833
Cl 0.039 0.706 0.167
Cl 0.294 0.334 0.167
Cl 0.294 0.961 0.833
Cl 0.666 0.706 0.833
Cl 0.666 0.961 0.167

Computed properties:
E_form (uncorrected) in meV/atom: -1365
Symmetry: P312, No. 149
DOS at the Fermi energy in states/eV per cell: 6.78

---

# 6
VASP calculation (PBE-GGA) on an optimized crystal structure of HoPaCd2O6.

a = 6.125 Å, b = 6.125 Å, c = 6.125 Å
α = 56.36°, β = 56.36°, γ = 56.36°
Sites, in units of the cell vectors:
Ho 0.000 0.000 0.000
Pa 0.497 0.497 0.497
Cd 0.280 0.280 0.280
Cd 0.783 0.783 0.783
O 0.124 0.380 0.712
O 0.223 0.871 0.614
O 0.380 0.712 0.124
O 0.614 0.223 0.871
O 0.712 0.124 0.380
O 0.871 0.614 0.223

Computed properties:
E_form (uncorrected) in meV/atom: -2574
Symmetry: R3, No. 146
DOS at the Fermi energy in states/eV per cell: 0.00

---

# 7
VASP calculation (PBE-GGA) on an optimized crystal structure of Sm3DyEr6.

a = 6.484 Å, b = 6.499 Å, c = 9.482 Å
α = 89.98°, β = 70.31°, γ = 60.20°
Sites, in units of the cell vectors:
Sm 0.000 0.000 0.000
Sm 0.300 0.558 0.690
Sm 0.700 0.442 0.310
Dy 0.000 0.500 0.500
Er 0.127 0.865 0.313
Er 0.304 0.349 0.051
Er 0.449 0.991 0.687
Er 0.551 0.009 0.313
Er 0.696 0.651 0.949
Er 0.873 0.135 0.687

Computed properties:
Excess energy over the best structure of this formula in the dataset in eV/f.u.: 0.16
Symmetry: P-1, No. 2
ΔE_f in meV/atom: 166
DOS at the Fermi energy in states/eV per cell: 11.75

---

# 8
VASP calculation (PBE-GGA) on an optimized crystal structure of AgSn3Ge.

a = 5.327 Å, b = 5.327 Å, c = 5.327 Å
α = 90.00°, β = 90.00°, γ = 90.00°
Sites, in units of the cell vectors:
Ag 0.000 0.000 0.000
Sn 0.000 0.000 0.500
Sn 0.000 0.500 0.000
Sn 0.500 0.000 0.000
Ge 0.500 0.500 0.500

Computed properties:
Excess energy over the best structure of this formula in the dataset in eV/f.u.: 0.00
Symmetry: Pm-3m, No. 221
ΔE_f in meV/atom: 587
DOS at the Fermi energy in states/eV per cell: 3.22

---

# 9
VASP calculation (PBE-GGA) on an optimized crystal structure of Cu3SnH.

a = 3.946 Å, b = 3.946 Å, c = 3.946 Å
α = 90.00°, β = 90.00°, γ = 90.00°
Sites, in units of the cell vectors:
Cu 0.000 0.000 0.500
Cu 0.000 0.500 0.000
Cu 0.500 0.000 0.000
Sn 0.500 0.500 0.500
H 0.000 0.000 0.000

Computed properties:
Excess energy over the best structure of this formula in the dataset in eV/f.u.: 0.00
Symmetry: Pm-3m, No. 221
DOS at the Fermi energy in states/eV per cell: 1.15

---

# 10
VASP calculation (PBE-GGA) on an optimized crystal structure of Y3Tm4Se8.

a = 8.070 Å, b = 8.070 Å, c = 8.065 Å
α = 119.96°, β = 119.96°, γ = 90.02°
Sites, in units of the cell vectors:
Y 0.000 0.000 0.000
Y 0.000 0.500 0.000
Y 0.500 0.000 0.000
Tm 0.000 0.500 0.500
Tm 0.500 0.000 0.500
Tm 0.500 0.500 0.000
Tm 0.500 0.500 0.500
Se 0.248 0.752 0.500
Se 0.250 0.250 0.504
Se 0.250 0.250 0.997
Se 0.252 0.748 0.000
Se 0.748 0.252 0.000
Se 0.750 0.750 0.003
Se 0.750 0.750 0.496
Se 0.752 0.248 0.500

Computed properties:
E_form (uncorrected) in meV/atom: -1802
Symmetry: C2/m, No. 12
DOS at the Fermi energy in states/eV per cell: 6.19

---

# 11
VASP calculation (PBE-GGA) on an optimized crystal structure of Li2Ce2Pr3Sb4.

a = 4.653 Å, b = 4.653 Å, c = 16.886 Å
α = 90.00°, β = 90.00°, γ = 120.00°
Sites, in units of the cell vectors:
Li 0.333 0.667 0.124
Li 0.667 0.333 0.876
Ce 0.333 0.667 0.561
Ce 0.667 0.333 0.439
Pr 0.000 0.000 0.000
Pr 0.000 0.000 0.242
Pr 0.000 0.000 0.758
Sb 0.333 0.667 0.345
Sb 0.333 0.667 0.882
Sb 0.667 0.333 0.118
Sb 0.667 0.333 0.655

Computed properties:
E_form (uncorrected) in meV/atom: -802
Symmetry: P-3m1, No. 164
DOS at the Fermi energy in states/eV per cell: 18.47

---

# 12
VASP calculation (PBE-GGA) on an optimized crystal structure of CaGa5Au2.

a = 6.690 Å, b = 6.690 Å, c = 6.690 Å
α = 144.51°, β = 109.28°, γ = 81.70°
Sites, in units of the cell vectors:
Ca 0.000 0.000 0.000
Ga 0.171 0.362 0.808
Ga 0.446 0.638 0.808
Ga 0.500 0.000 0.500
Ga 0.554 0.362 0.192
Ga 0.829 0.638 0.192
Au 0.238 0.738 0.500
Au 0.762 0.262 0.500

Computed properties:
Symmetry: Immm, No. 71
ΔE_f in meV/atom: -346
DOS at the Fermi energy in states/eV per cell: 2.14

---

# 13
VASP calculation (PBE-GGA) on an optimized crystal structure of ReGe4Mo2.

a = 7.532 Å, b = 7.532 Å, c = 5.633 Å
α = 110.73°, β = 110.73°, γ = 23.83°
Sites, in units of the cell vectors:
Re 0.000 0.000 0.000
Ge 0.118 0.118 0.780
Ge 0.388 0.388 0.675
Ge 0.612 0.612 0.325
Ge 0.882 0.882 0.220
Mo 0.246 0.246 0.245
Mo 0.754 0.754 0.755

Computed properties:
Symmetry: C2/m, No. 12
ΔE_f in meV/atom: 100
DOS at the Fermi energy in states/eV per cell: 4.22

---

# 14
VASP calculation (PBE-GGA) on an optimized crystal structure of Tb7Te2Pb2.

a = 7.151 Å, b = 7.151 Å, c = 7.064 Å
α = 90.00°, β = 90.00°, γ = 101.65°
Sites, in units of the cell vectors:
Tb 0.000 0.000 0.000
Tb 0.000 0.500 0.271
Tb 0.000 0.500 0.729
Tb 0.500 0.000 0.271
Tb 0.500 0.000 0.729
Tb 0.500 0.500 0.260
Tb 0.500 0.500 0.740
Te 0.276 0.724 0.000
Te 0.724 0.276 0.000
Pb 0.185 0.185 0.500
Pb 0.815 0.815 0.500

Computed properties:
E_form (uncorrected) in meV/atom: -390
Symmetry: Cmmm, No. 65
DOS at the Fermi energy in states/eV per cell: 12.11

---

# 15
VASP calculation (PBE-GGA) on an optimized crystal structure of YCdIr2.

a = 4.363 Å, b = 5.562 Å, c = 5.562 Å
α = 35.81°, β = 90.00°, γ = 90.00°
Sites, in units of the cell vectors:
Y 0.000 0.000 0.000
Cd 0.500 0.681 0.681
Ir 0.000 0.271 0.271
Ir 0.500 0.407 0.407

Computed properties:
Symmetry: Amm2, No. 38
ΔE_f in meV/atom: -178
DOS at the Fermi energy in states/eV per cell: 4.50

---

# 16
VASP calculation (PBE-GGA) on an optimized crystal structure of Ba2CuP2O8.

a = 6.688 Å, b = 6.688 Å, c = 6.999 Å
α = 104.21°, β = 104.21°, γ = 45.73°
Sites, in units of the cell vectors:
Ba 0.173 0.173 0.215
Ba 0.827 0.827 0.785
Cu 0.500 0.500 0.500
P 0.133 0.133 0.703
P 0.867 0.867 0.297
O 0.047 0.047 0.825
O 0.122 0.634 0.435
O 0.255 0.255 0.840
O 0.366 0.878 0.565
O 0.634 0.122 0.435
O 0.745 0.745 0.160
O 0.878 0.366 0.565
O 0.953 0.953 0.175

Computed properties:
E_form (uncorrected) in meV/atom: -2440
Symmetry: C2/m, No. 12

---

# 17
VASP calculation (PBE-GGA) on an optimized crystal structure of AlPtRh2.

a = 8.678 Å, b = 8.678 Å, c = 8.678 Å
α = 18.58°, β = 18.58°, γ = 18.58°
Sites, in units of the cell vectors:
Al 0.000 0.000 0.000
Pt 0.500 0.500 0.500
Rh 0.256 0.256 0.256
Rh 0.744 0.744 0.744

Computed properties:
Symmetry: R-3m, No. 166
ΔE_f in meV/atom: -401
DOS at the Fermi energy in states/eV per cell: 6.66

---

# 18
VASP calculation (PBE-GGA) on an optimized crystal structure of Cs3KAu.

a = 9.394 Å, b = 9.611 Å, c = 9.655 Å
α = 60.21°, β = 83.71°, γ = 77.26°
Sites, in units of the cell vectors:
Cs 0.000 0.000 0.000
Cs 0.001 0.474 0.051
Cs 0.215 0.346 0.526
Cs 0.541 0.789 0.086
Cs 0.542 0.349 0.966
Cs 0.592 0.835 0.526
K 0.058 0.809 0.526
K 0.740 0.294 0.525
Au 0.875 0.468 0.702
Au 0.876 0.644 0.349

Computed properties:
Excess energy over the best structure of this formula in the dataset in eV/f.u.: 0.04
Symmetry: P1, No. 1
ΔE_f in meV/atom: -129
DOS at the Fermi energy in states/eV per cell: 6.98

---

# 19
VASP calculation (PBE-GGA) on an optimized crystal structure of SrBr5.

a = 6.292 Å, b = 6.292 Å, c = 6.292 Å
α = 60.00°, β = 60.00°, γ = 60.00°
Sites, in units of the cell vectors:
Sr 0.000 0.000 0.000
Br 0.375 0.375 0.375
Br 0.375 0.375 0.875
Br 0.375 0.875 0.375
Br 0.750 0.750 0.750
Br 0.875 0.375 0.375

Computed properties:
Excess energy over the best structure of this formula in the dataset in eV/f.u.: 2.66
E_form (uncorrected) in meV/atom: -506
Symmetry: F-43m, No. 216
DOS at the Fermi energy in states/eV per cell: 5.27

---

# 20
VASP calculation (PBE-GGA) on an optimized crystal structure of Co2CuSb.

a = 3.861 Å, b = 3.861 Å, c = 3.516 Å
α = 90.00°, β = 90.00°, γ = 90.00°
Sites, in units of the cell vectors:
Co 0.000 0.500 0.000
Co 0.500 0.000 0.000
Cu 0.000 0.000 0.500
Sb 0.500 0.500 0.500

Computed properties:
E_form (uncorrected) in meV/atom: 106
Symmetry: P4/mmm, No. 123
DOS at the Fermi energy in states/eV per cell: 3.88

---

What are the DFT total energy values for these records? In order: -109.3 -34.4 -20.6 -67.2 -32.3 -71.4 -44.5 -16.5 -18.8 -92.2 -55.3 -26.5 -51.9 -50.4 -25.8 -90.2 -26.1 -15.2 -13.1 -22.0 eV per cell.